Ba2PbW | meta-GGA SCAN | single point on PBEsol structure

For the formation energy, the calculation gives 0.713 eV per atom. The value obtained for the energy is -55.429 eV/atom.

The structure belongs to space group Cm (No. 8); the cell edges are 12.864, 3.275 and 6.086 Å and the angles 90.00°, 107.22° and 90.00°. The distinct sites, in fractional coordinates, are Ba at (0.000, 0.000, 0.000), Ba at (0.186, 0.000, 0.631), Pb at (0.421, 0.000, 0.454) and W at (0.253, 0.500, 0.169).



BaPbW2 | meta-GGA SCAN | single point on PBEsol structure

For the formation energy, the calculation gives 1.084 eV per atom. The value obtained for the energy is -62.593 eV/atom.

The structure belongs to space group Imm2 (No. 44); the cell edges are 3.345, 5.413 and 10.948 Å and the angles 90.00°, 90.00° and 90.00°. The distinct sites, in fractional coordinates, are Ba at (0.000, 0.000, 0.000), Pb at (0.000, 0.500, 0.794), W at (0.000, 0.000, 0.554) and W at (0.000, 0.500, 0.214).



BaY2Pb | meta-GGA SCAN | single point on PBEsol structure

For the formation energy, the calculation gives -0.198 eV per atom. The value obtained for the energy is -42.952 eV/atom.

The structure belongs to space group I-4m2 (No. 119); the cell edges are 4.847, 4.847 and 10.614 Å and the angles 90.00°, 90.00° and 90.00°. The distinct sites, in fractional coordinates, are Ba at (0.000, 0.000, 0.000), Y at (0.000, 0.000, 0.500), Y at (0.000, 0.500, 0.750) and Pb at (0.000, 0.500, 0.250).



BaY2Pb | meta-GGA SCAN | single point on PBEsol structure

For the formation energy, the calculation gives -0.193 eV per atom. The value obtained for the energy is -42.948 eV/atom.

The structure belongs to space group P2/m (No. 10); the cell edges are 3.688, 5.413 and 6.758 Å and the angles 90.00°, 101.51° and 90.00°. The distinct sites, in fractional coordinates, are Ba at (0.000, 0.000, 0.000), Y at (0.324, 0.500, 0.717) and Pb at (0.500, 0.000, 0.500).



Ba2YPb | meta-GGA SCAN | single point on PBEsol structure

For the formation energy, the calculation gives -0.183 eV per atom. The value obtained for the energy is -45.864 eV/atom.

The structure belongs to space group P4/mmm (No. 123); the cell edges are 3.864, 3.864 and 10.674 Å and the angles 90.00°, 90.00° and 90.00°. The distinct sites, in fractional coordinates, are Ba at (0.000, 0.000, 0.221), Y at (0.500, 0.500, 0.500) and Pb at (0.500, 0.500, 0.000).



BaYPb | meta-GGA SCAN | single point on PBEsol structure

For the formation energy, the calculation gives 0.310 eV per atom. The value obtained for the energy is -47.415 eV/atom.

The structure belongs to space group F-43m (No. 216); the cell edges are 7.734, 7.734 and 7.734 Å and the angles 90.00°, 90.00° and 90.00°. The distinct sites, in fractional coordinates, are Ba at (0.000, 0.000, 0.000), Y at (0.250, 0.250, 0.250) and Pb at (0.250, 0.250, 0.750).



BaY2Pb | meta-GGA SCAN | single point on PBEsol structure

For the formation energy, the calculation gives -0.094 eV per atom. The value obtained for the energy is -42.848 eV/atom.

The structure belongs to space group R-3m (No. 166, hexagonal axes); the cell edges are 3.6594, 3.6594 and 34.4521 Å and the angles 90.00°, 90.00° and 120.00°. The distinct sites, in fractional coordinates, are Ba at (0.0000, 0.0000, 0.0000), Y at (0.0000, 0.0000, 0.2396) and Pb at (0.0000, 0.0000, 0.5000).



BaY2Pb | meta-GGA SCAN | single point on PBEsol structure

For the formation energy, the calculation gives -0.295 eV per atom. The value obtained for the energy is -43.050 eV/atom.

The structure belongs to space group P4mm (No. 99); the cell edges are 4.208, 4.208 and 7.681 Å and the angles 90.00°, 90.00° and 90.00°. The distinct sites, in fractional coordinates, are Ba at (0.000, 0.000, 0.000), Y at (0.000, 0.000, 0.451), Y at (0.500, 0.500, 0.673) and Pb at (0.500, 0.500, 0.272).



BaZnPb | meta-GGA SCAN | single point on PBEsol structure

For the formation energy, the calculation gives -0.597 eV per atom. The value obtained for the energy is -43.546 eV/atom.

The structure belongs to space group P6_3/mmc (No. 194); the cell edges are 4.7184, 4.7184 and 19.7939 Å and the angles 90.00°, 90.00° and 120.00°. The distinct sites, in fractional coordinates, are Ba at (0.0000, 0.0000, 0.0000), Ba at (0.0000, 0.0000, 0.2500), Zn at (0.3333, 0.6667, 0.1240) and Pb at (0.3333, 0.6667, 0.6241).



BaZnPb2 | meta-GGA SCAN | single point on PBEsol structure

For the formation energy, the calculation gives -0.093 eV per atom. The value obtained for the energy is -51.250 eV/atom.

The structure belongs to space group Cmmm (No. 65); the cell edges are 6.779, 10.211 and 3.441 Å and the angles 90.00°, 90.00° and 90.00°. The distinct sites, in fractional coordinates, are Ba at (0.000, 0.000, 0.000), Zn at (0.000, 0.500, 0.000) and Pb at (0.250, 0.250, 0.500).



Ba2ZnPb | meta-GGA SCAN | single point on PBEsol structure

For the formation energy, the calculation gives -0.309 eV per atom. The value obtained for the energy is -42.408 eV/atom.

The structure belongs to space group I-4m2 (No. 119); the cell edges are 5.033, 5.033 and 10.546 Å and the angles 90.00°, 90.00° and 90.00°. The distinct sites, in fractional coordinates, are Ba at (0.000, 0.000, 0.000), Ba at (0.000, 0.500, 0.250), Zn at (0.000, 0.500, 0.750) and Pb at (0.000, 0.000, 0.500).



BaZnPb3 | meta-GGA SCAN | single point on PBEsol structure

The value obtained for the relative energy among the computed polymorphs is 0.00 kcal/mol of atoms. For the formation energy, the calculation gives -0.211 eV per atom. The value obtained for the energy is -56.293 eV/atom.

The structure belongs to space group Pm-3m (No. 221); the cell edges are 5.429, 5.429 and 5.429 Å and the angles 90.00°, 90.00° and 90.00°. The distinct sites, in fractional coordinates, are Ba at (0.000, 0.000, 0.000), Zn at (0.500, 0.500, 0.500) and Pb at (0.000, 0.500, 0.500).



BaZnPb3 | meta-GGA SCAN | single point on PBEsol structure

The value obtained for the relative energy among the computed polymorphs is 28.18 kcal/mol of atoms. For the formation energy, the calculation gives 1.011 eV per atom. The value obtained for the energy is -55.071 eV/atom.

The structure belongs to space group Pm-3m (No. 221); the cell edges are 6.242, 6.242 and 6.242 Å and the angles 90.00°, 90.00° and 90.00°. The distinct sites, in fractional coordinates, are Ba at (0.000, 0.000, 0.000), Zn at (0.500, 0.500, 0.500) and Pb at (0.000, 0.000, 0.500).



BaZnPb | meta-GGA SCAN | single point on PBEsol structure

For the formation energy, the calculation gives -0.592 eV per atom. The value obtained for the energy is -43.541 eV/atom.

The structure belongs to space group P-6m2 (No. 187); the cell edges are 4.6940, 4.6940 and 5.0055 Å and the angles 90.00°, 90.00° and 120.00°. The distinct sites, in fractional coordinates, are Ba at (0.0000, 0.0000, 0.0000), Zn at (0.6667, 0.3333, 0.5000) and Pb at (0.3333, 0.6667, 0.5000).



Ba2ZnPb | meta-GGA SCAN | single point on PBEsol structure

For the formation energy, the calculation gives -0.482 eV per atom. The value obtained for the energy is -42.581 eV/atom.

The structure belongs to space group Pmm2 (No. 25); the cell edges are 4.122, 5.672 and 5.966 Å and the angles 90.00°, 90.00° and 90.00°. The distinct sites, in fractional coordinates, are Ba at (0.000, 0.000, 0.000), Ba at (0.000, 0.500, 0.431), Zn at (0.500, 0.000, 0.524) and Pb at (0.500, 0.500, 0.908).



BaZnPb2 | meta-GGA SCAN | single point on PBEsol structure

For the formation energy, the calculation gives -0.002 eV per atom. The value obtained for the energy is -51.159 eV/atom.

The structure belongs to space group R-3m (No. 166, hexagonal axes); the cell edges are 3.6666, 3.6666 and 30.1440 Å and the angles 90.00°, 90.00° and 120.00°. The distinct sites, in fractional coordinates, are Ba at (0.0000, 0.0000, 0.0000), Zn at (0.0000, 0.0000, 0.5000) and Pb at (0.0000, 0.0000, 0.2337).



BaZrPb2 | meta-GGA SCAN | single point on PBEsol structure

For the formation energy, the calculation gives -0.155 eV per atom. The value obtained for the energy is -55.607 eV/atom.

The structure belongs to space group Fm-3m (No. 225); the cell edges are 7.759, 7.759 and 7.759 Å and the angles 90.00°, 90.00° and 90.00°. The distinct sites, in fractional coordinates, are Ba at (0.000, 0.000, 0.000), Zr at (0.000, 0.000, 0.500) and Pb at (0.250, 0.250, 0.250).



Ba3ZrPb | meta-GGA SCAN | single point on PBEsol structure

For the formation energy, the calculation gives 0.570 eV per atom. The value obtained for the energy is -44.457 eV/atom.

The structure belongs to space group Pm-3m (No. 221); the cell edges are 5.991, 5.991 and 5.991 Å and the angles 90.00°, 90.00° and 90.00°. The distinct sites, in fractional coordinates, are Ba at (0.000, 0.000, 0.500), Zr at (0.000, 0.000, 0.000) and Pb at (0.500, 0.500, 0.500).



BaZrPb2 | meta-GGA SCAN | single point on PBEsol structure

For the formation energy, the calculation gives -0.180 eV per atom. The value obtained for the energy is -55.633 eV/atom.

The structure belongs to space group R-3m (No. 166, hexagonal axes); the cell edges are 3.5006, 3.5006 and 32.3440 Å and the angles 90.00°, 90.00° and 120.00°. The distinct sites, in fractional coordinates, are Ba at (0.0000, 0.0000, 0.0000), Zr at (0.0000, 0.0000, 0.5000) and Pb at (0.0000, 0.0000, 0.2412).



BaPd5 | meta-GGA SCAN | single point on PBEsol structure

For the formation energy, the calculation gives -0.343 eV per atom. The value obtained for the energy is -34.246 eV/atom.

The structure belongs to space group P6/mmm (No. 191); the cell edges are 5.4926, 5.4926 and 4.3069 Å and the angles 90.00°, 90.00° and 120.00°. The distinct sites, in fractional coordinates, are Ba at (0.0000, 0.0000, 0.0000), Pd at (0.0000, 0.5000, 0.5000) and Pd at (0.3333, 0.6667, 0.0000).